Here is an optimized crystal structure of MnAlZnCr2 from Alexandria via LeMat-Bulk. Energies are from PBE.

Cell lengths 4.335, 4.335, 4.520 Å; angles 90.00, 90.00, 90.00 degrees
Positions (direct):
1 Mn 0.000 0.000 0.000
2 Al 0.000 0.000 0.500
3 Zn 0.500 0.500 0.500
4 Cr 0.000 0.500 0.000
5 Cr 0.500 0.000 0.000

## Properties
Its total magnetization is 4.465 Bohr magnetons per cell. The formation energy comes out at 3.9 eV/f.u. The value obtained for the total energy is -5.904 eV/atom.